Record 1
An optimized crystal structure of FeSi3Ni, computed with GGA-PBE.

extended XYZ file:
```
5
Lattice="4.2726 0.0000 0.0000 0.0000 4.2726 0.0000 0.0000 0.0000 4.2726" Properties=species:S:1:pos:R:3 pbc="T T T"
Ni 2.1363 2.1363 2.1363
Si 0.0000 2.1363 0.0000
Si 0.0000 0.0000 2.1363
Si 2.1363 0.0000 0.0000
Fe 0.0000 0.0000 0.0000
```

## Properties
symmetry	Pm-3m
density of states at the Fermi level	2.27	states/eV per cell
calculated volume	78.00	Å³/cell
formation energy without anion corrections	216.9	kJ/mol of formula units

---

Record 2
An optimized crystal structure of SrLa2CeSe4, computed with GGA-PBE.

extended XYZ file:
```
8
Lattice="-2.4283 -2.0006 2.9281 6.1498 -1.8813 3.8147 1.5655 5.3883 4.9797" Properties=species:S:1:pos:R:3 pbc="T T T"
Sr 3.8576 1.7535 4.3972
La 1.5655 5.3883 4.9797
La -0.4314 1.6939 3.9539
Ce 1.8608 -1.9409 3.3714
Se 5.7701 2.6611 6.6034
Se -0.4831 -1.1547 5.1191
Se 3.7804 -1.0840 5.5489
Se 1.5066 2.5904 6.1736
```

## Properties
symmetry	P2/m
density of states at the Fermi level	9.58	states/eV per cell
calculated volume	227.63	Å³/cell
formation energy without anion corrections	-1491.3	kJ/mol of formula units

---

Record 3
An optimized crystal structure of Ti2PdPt3, computed with GGA-PBE.

extended XYZ file:
```
12
Lattice="-5.4081 -0.8379 -0.2499 0.1652 0.5575 -5.4440 3.6532 -6.3308 2.2156" Properties=species:S:1:pos:R:3 pbc="T T T"
Ti -0.9797 -2.3445 -0.2698
Ti -0.6100 -4.2667 -3.2085
Ti 2.0737 -4.1168 -0.3587
Ti -3.6634 -2.4943 -3.1197
Pd 0.0413 0.1394 -1.3610
Pd 0.1239 0.4181 -4.0830
Pt -0.9542 -1.8648 -2.9730
Pt -0.6356 -4.7463 -0.5054
Pt 2.1645 -4.0466 -3.1018
Pt -3.7543 -2.5646 -0.3766
Pt -2.5801 -0.0008 -4.2080
Pt -2.6628 -0.2796 -1.4860
```

## Properties
E_form	-0.685	eV per atom
symmetry	Ibam
density of states at the Fermi level	8.84	states/eV per cell
calculated volume	197.45	Å³/cell

---

Record 4
An optimized crystal structure of Th2As7Rh12, computed with GGA-PBE.

extended XYZ file:
```
21
Lattice="-0.9585 2.8021 2.6570 1.9112 -6.4182 7.4583 7.3052 5.8704 -3.5558" Properties=species:S:1:pos:R:3 pbc="T T T"
Th 5.2688 2.4712 0.7764
Th 2.9892 -0.2169 5.7830
As -0.4792 1.4011 1.3285
As 3.5527 -3.3076 6.2602
As 1.3493 -1.2033 3.2461
As 5.5064 -0.3523 3.8483
As 4.7053 5.5620 0.2992
As 6.9087 3.4576 3.3133
As 2.7516 2.6067 2.7111
Rh 1.4545 -2.8663 5.0364
Rh 3.4004 0.0437 2.6693
Rh 5.5542 -2.0428 5.6468
Rh 6.8035 5.1207 1.5230
Rh 4.8576 2.2106 3.8901
Rh 2.7038 4.2971 0.9126
Rh 1.9169 1.4831 0.5913
Rh 6.4906 4.9297 -1.3936
Rh 7.4077 0.9754 3.1075
Rh 6.3411 0.7712 5.9681
Rh 1.7674 -2.6754 7.9530
Rh 0.8503 1.2789 3.4519
```

## Properties
E_form	-0.712	eV per atom
symmetry	P-3
density of states at the Fermi level	14.45	states/eV per cell
calculated volume	346.19	Å³/cell

---

Record 5
An optimized crystal structure of SrZn2Co, computed with GGA-PBE.

extended XYZ file:
```
4
Lattice="3.3792 0.0000 0.0000 0.0000 3.3792 0.0000 0.0000 0.0000 6.9617" Properties=species:S:1:pos:R:3 pbc="T T T"
Co 0.0000 0.0000 2.8651
Sr 1.6896 1.6896 5.0722
Zn 0.0000 0.0000 0.4682
Zn 1.6896 1.6896 2.0369
```

## Properties
E_form	0.154	eV per atom
symmetry	P4mm
density of states at the Fermi level	2.43	states/eV per cell
calculated volume	79.49	Å³/cell

---

Record 6
An optimized crystal structure of Dy2IrCl2, computed with GGA-PBE.

extended XYZ file:
```
10
Lattice="3.9543 0.0000 -0.7177 -0.3072 6.0766 -1.6923 0.0249 0.0235 11.3892" Properties=species:S:1:pos:R:3 pbc="T T T"
Dy 3.0102 4.1071 5.3328
Dy 0.6618 1.9930 3.6464
Dy 2.3508 4.7965 1.6997
Dy 1.3213 1.3036 7.2795
Ir 2.9564 1.1180 5.0366
Ir 0.7156 4.9821 3.9425
Cl 3.6126 0.5895 8.6515
Cl 0.0595 5.5106 0.3276
Cl 2.2612 2.1902 1.2060
Cl 1.4109 3.9099 7.7731
```

## Properties
symmetry	C2/m
density of states at the Fermi level	3.01	states/eV per cell
calculated volume	273.94	Å³/cell
formation energy without anion corrections	-754.5	kJ/mol of formula units

---

Record 7
An optimized crystal structure of RbMgCr2, computed with GGA-PBE.

extended XYZ file:
```
8
Lattice="-7.7072 3.8820 -1.4464 -3.5208 -7.7479 -2.0336 -6.4477 -2.3948 1.4631" Properties=species:S:1:pos:R:3 pbc="T T T"
Cr -6.4733 0.6597 -0.7182
Cr -5.1716 -4.7566 -1.1603
Cr -9.2271 -3.6436 -0.3121
Cr -14.4795 -4.7810 -1.8433
Mg -5.6140 -1.9330 -1.7400
Mg -7.7913 -6.0378 -1.1552
Rb 0.0000 0.0000 0.0000
Rb -9.8844 -0.2229 -0.8617
```

## Properties
E_form	1.312	eV per atom
symmetry	I-42d
density of states at the Fermi level	5.15	states/eV per cell
calculated volume	255.86	Å³/cell

---

Record 8
An optimized crystal structure of LiCa3Cu8, computed with GGA-PBE.

extended XYZ file:
```
12
Lattice="5.2091 0.0000 0.0000 2.6045 4.5112 0.0000 2.6045 1.5037 8.5349" Properties=species:S:1:pos:R:3 pbc="T T T"
Li 7.8136 4.5112 3.2977
Ca 5.2091 3.0075 7.4147
Ca 7.8136 4.5112 0.1946
Ca 5.2091 3.0075 4.1130
Cu 6.5300 2.2448 1.6182
Cu 6.5150 5.2609 5.8281
Cu 3.8882 2.2448 1.6182
Cu 9.1122 5.2609 5.8281
Cu 2.6045 1.5037 3.7151
Cu 7.8136 4.5112 8.0018
Cu 5.2091 4.5327 1.6182
Cu 7.8136 3.0117 5.8281
```

## Properties
E_form	-0.094	eV per atom
symmetry	R3m
density of states at the Fermi level	9.81	states/eV per cell
calculated volume	200.56	Å³/cell

---

Record 9
An optimized crystal structure of In3Pb2I7, computed with GGA-PBE.

extended XYZ file:
```
24
Lattice="-4.6193 1.4750 7.7331 -0.7129 -7.9672 1.0939 12.9039 3.8923 6.9655" Properties=species:S:1:pos:R:3 pbc="T T T"
In -3.5153 -5.3008 5.8069
In -0.8010 -1.5157 1.3194
In 0.2555 -4.7397 10.2426
In 6.3682 2.4427 7.1371
In 3.7044 -0.7786 11.5472
In 2.9193 -1.5185 5.8325
Pb 6.6864 3.0177 11.4480
Pb 0.9289 -5.6314 4.2717
Pb 8.6398 -1.7013 8.1281
Pb -1.0245 -0.9124 7.5917
I 1.8198 0.0014 8.7206
I 6.1348 -2.7235 6.4310
I 4.3095 1.2760 4.5778
I 3.6451 -3.9981 10.5738
I 2.6680 -3.2666 2.8341
I 6.6840 0.0983 9.9780
I 0.2410 -3.8410 6.8808
I 9.1110 0.6727 5.9314
I -3.0495 -5.9654 9.3161
I 8.9753 3.8911 9.2320
I -3.9626 -2.0132 6.5940
I -1.7954 -4.3430 2.9460
I 6.0685 -2.0455 14.0149
I -0.1427 -0.0287 4.5332
```

## Properties
symmetry	Cmc2_1
density of states at the Fermi level	0.00	states/eV per cell
calculated volume	1077.73	Å³/cell
formation energy without anion corrections	-618.2	kJ/mol of formula units

---

Record 10
An optimized crystal structure of CaTb2Pr3Te6, computed with GGA-PBE.

extended XYZ file:
```
12
Lattice="4.4334 0.0000 0.0000 0.0000 9.0224 0.2474 -2.2167 -2.6798 9.4093" Properties=species:S:1:pos:R:3 pbc="T T T"
Ca 2.2167 0.0000 0.0000
Tb 2.2167 4.1989 6.3869
Tb 0.0000 2.1437 3.2698
Pr 2.2167 4.5112 0.1237
Pr 2.2167 -0.2260 6.3362
Pr 0.0000 6.5685 3.3204
Te 0.0000 6.4190 6.5322
Te 2.2167 4.2828 3.3068
Te 2.2167 -0.0765 3.1244
Te 0.0000 2.1849 0.1469
Te 2.2167 4.1577 9.5098
Te 0.0000 2.0597 6.3499
```

## Properties
symmetry	C2/m
density of states at the Fermi level	5.96	states/eV per cell
calculated volume	379.31	Å³/cell
formation energy without anion corrections	-1653.0	kJ/mol of formula units

---

Record 11
An optimized crystal structure of ScZn2Os, computed with GGA-PBE.

extended XYZ file:
```
4
Lattice="-1.0180 -3.9943 0.8156 3.5286 -1.1191 -1.0765 1.2406 0.4241 3.6254" Properties=species:S:1:pos:R:3 pbc="T T T"
Os 1.2553 -2.5567 -0.1305
Sc 0.1113 -1.7851 2.2205
Zn 0.0000 0.0000 0.0000
Zn 2.3846 -0.3475 1.2744
```

## Properties
E_form	-0.142	eV per atom
symmetry	P4/mmm
density of states at the Fermi level	2.84	states/eV per cell
calculated volume	62.45	Å³/cell